No. 1
Density functional theory data (PBE-GGA) for a geometry-optimized Ca3MgP structure.

POSCAR file:
```
Ca3MgP
1.0
-1.675 1.339 -4.355
-2.816 0.455 3.929
6.519 16.964 2.708
P Ca Mg
2 6 2
Direct
0.333 0.667 0.750 P
0.667 0.333 0.250 P
0.000 0.000 0.250 Ca
0.000 0.000 0.750 Ca
0.333 0.667 0.900 Ca
0.333 0.667 0.600 Ca
0.667 0.333 0.400 Ca
0.667 0.333 0.100 Ca
0.000 0.000 0.000 Mg
0.000 0.000 0.500 Mg
```

Results
Formation energy from the elements in eV per atom: -0.32
Calculated volume in Å³/atom: 37.5
Energy relative to the lowest polymorph listed for this composition in meV/atom: 242

No. 2
Density functional theory data (PBE-GGA) for a geometry-optimized BeGeH2 structure.

POSCAR file:
```
BeGeH2
1.0
-3.598 2.882 -2.520
-1.509 -4.245 -2.701
-4.407 -1.275 -0.642
Be Ge H
2 2 4
Direct
0.500 0.500 0.000 Be
0.250 0.750 0.500 Be
0.000 0.000 0.000 Ge
0.750 0.250 0.500 Ge
0.376 0.125 0.250 H
0.374 0.625 0.250 H
0.375 0.624 0.750 H
0.875 0.626 0.750 H
```

Results
Calculated volume in Å³/atom: 9.5
Energy relative to the lowest polymorph listed for this composition in meV/atom: 0

No. 3
Density functional theory data (PBE-GGA) for a geometry-optimized Li6Cu2Ir structure.

POSCAR file:
```
Li6Cu2Ir
1.0
2.825 0.186 0.261
0.278 7.480 -1.070
0.278 -3.475 6.709
Li Cu Ir
6 2 1
Direct
0.838 0.486 0.149 Li
0.162 0.514 0.851 Li
0.652 0.690 0.690 Li
0.838 0.149 0.486 Li
0.162 0.851 0.514 Li
0.348 0.310 0.310 Li
0.500 0.841 0.159 Cu
0.500 0.159 0.841 Cu
0.000 0.000 0.000 Ir
```

Results
Formation energy from the elements in eV per atom: -0.01
Calculated volume in Å³/atom: 14.5
Energy relative to the lowest polymorph listed for this composition in meV/atom: 75

No. 4
Density functional theory data (PBE-GGA) for a geometry-optimized ZrHgBr structure.

POSCAR file:
```
ZrHgBr
1.0
4.759 0.000 0.000
2.380 4.122 0.000
2.380 1.374 3.886
Br Hg Zr
1 1 1
Direct
0.250 0.250 0.250 Br
0.000 0.000 0.000 Hg
0.500 0.500 0.500 Zr
```

Results
Formation energy (no corrections) in meV/atom: 331
Calculated volume in Å³/atom: 25.4
Energy relative to the lowest polymorph listed for this composition in meV/atom: 924

- Look up the energy relative to the lowest polymorph listed for this composition of the second one.
  0 meV/atom